Entry a
A plane-wave DFT calculation with PBE was carried out for crystalline BeSi2I at its relaxed geometry.

## Properties
**Space group**: Fm-3m

Cell: 4.7521 4.7521 4.7521 Å, 60.00 60.00 60.00°
Positions (direct):
Be 0.0000 0.0000 0.0000
Si 0.2500 0.2500 0.2500
Si 0.7500 0.7500 0.7500
I 0.5000 0.5000 0.5000



Entry b
A plane-wave DFT calculation with PBE was carried out for crystalline BeSi2I at its relaxed geometry.

## Properties
**Space group**: I-42d

Cell: 6.9864 6.9864 6.9864 Å, 131.62 131.62 70.83°
Positions (direct):
Be 0.0000 0.0000 0.0000
Be 0.7500 0.2500 0.5000
Si 0.3750 0.2491 0.3741
Si 0.7509 0.1250 0.1259
Si 0.8750 0.0009 0.6259
Si 0.9991 0.6250 0.8741
I 0.2500 0.7500 0.5000
I 0.5000 0.5000 0.0000



Entry c
A plane-wave DFT calculation with PBE was carried out for crystalline BeSi2I at its relaxed geometry.

## Properties
**Space group**: P1

Cell: 3.9479 3.9781 12.3080 Å, 85.53 88.85 84.74°
Positions (direct):
Be 0.0000 0.0000 0.0000
Be 0.3816 0.7734 0.8588
Si 0.2112 0.3272 0.7555
Si 0.4861 0.8050 0.6722
Si 0.8985 0.5164 0.9091
Si 0.9672 0.0860 0.6100
I 0.4994 0.9435 0.1241
I 0.8429 0.4036 0.4319



Entry d
A plane-wave DFT calculation with PBE was carried out for crystalline BeSi2I at its relaxed geometry.

## Properties
**Space group**: P1

Cell: 4.0063 5.4951 10.7568 Å, 88.90 88.52 69.08°
Positions (direct):
Be 0.0000 0.0000 0.0000
Be 0.2932 0.7355 0.8568
Si 0.5242 0.9599 0.6961
Si 0.6241 0.7857 0.0078
Si 0.8857 0.5741 0.8081
Si 0.9231 0.1390 0.7871
I 0.5448 0.9210 0.4670
I 0.8484 0.3594 0.1461



We find entry d to be the most stable, with the next structure 0.081 eV/atom higher.